VCrC | PBE | optimized geometry

Geometry as extended XYZ:
```
12
Lattice="4.435 0.000 0.000 0.000 4.947 0.000 0.000 0.000 5.668" Properties=species:S:1:pos:R:3 pbc="T T T"
V 1.031 0.871 0.793
V 1.186 3.344 4.875
V 3.249 1.602 4.875
V 3.404 4.076 0.793
Cr 1.093 3.329 2.088
Cr 1.125 0.856 3.580
Cr 3.310 4.091 3.580
Cr 3.343 1.618 2.088
C 0.000 0.000 4.942
C 0.000 2.473 3.496
C 2.218 0.000 2.172
C 2.218 2.473 0.726
```

Results
The energy above the most stable polymorph in this dataset is 0.0 meV per atom. The raw total energy is -115.68 eV/cell. Its mass density is 6.14 g cm⁻³. The calculation puts the energy of formation from the pure elements at -7.3 kcal/mol of atoms. The value obtained for the density of states at the Fermi level is 1.89 states/eV/f.u.

VCrC | PBE | optimized geometry

Geometry as extended XYZ:
```
3
Lattice="-1.283 1.283 4.516 1.283 -1.283 4.516 1.283 1.283 -4.516" Properties=species:S:1:pos:R:3 pbc="T T T"
V 0.000 0.000 0.000
Cr 0.000 0.000 2.352
C 0.000 0.000 5.842
```

Results
The energy above the most stable polymorph in this dataset is 466.9 meV per atom. The raw total energy is -27.52 eV/cell. Its mass density is 6.42 g cm⁻³. The calculation puts the energy of formation from the pure elements at 3.4 kcal/mol of atoms. The value obtained for the density of states at the Fermi level is 1.17 states/eV/f.u.

VCrC | PBE | optimized geometry

Geometry as extended XYZ:
```
3
Lattice="2.869 0.000 0.000 -1.435 2.485 0.000 0.000 0.000 4.363" Properties=species:S:1:pos:R:3 pbc="T T T"
V 0.000 0.000 0.000
Cr 1.435 0.828 2.208
C 0.000 1.656 1.150
```

Results
The energy above the most stable polymorph in this dataset is 33.6 meV per atom. The raw total energy is -28.82 eV/cell. Its mass density is 6.14 g cm⁻³. The calculation puts the energy of formation from the pure elements at -6.6 kcal/mol of atoms. The value obtained for the density of states at the Fermi level is 1.74 states/eV/f.u.

V4Cr2C | PBE | optimized geometry

Geometry as extended XYZ:
```
7
Lattice="-1.962 1.962 5.876 1.962 -1.962 5.876 1.962 1.962 -5.876" Properties=species:S:1:pos:R:3 pbc="T T T"
V 1.962 0.000 0.000
V 0.000 0.000 2.101
V 0.000 1.962 0.000
V 0.000 0.000 9.650
Cr 0.000 0.000 4.312
Cr 0.000 0.000 7.440
C 0.000 0.000 0.000
```

Results
The raw total energy is -62.31 eV/cell. Its mass density is 5.87 g cm⁻³. The calculation puts the energy of formation from the pure elements at 8.7 kcal/mol of atoms. The value obtained for the density of states at the Fermi level is 7.74 states/eV/f.u.

VCrC3 | PBE | optimized geometry

Geometry as extended XYZ:
```
5
Lattice="3.751 0.000 0.000 0.000 3.751 0.000 0.000 0.000 3.751" Properties=species:S:1:pos:R:3 pbc="T T T"
V 0.000 0.000 0.000
Cr 1.875 1.875 1.875
C 0.000 1.875 1.875
C 1.875 0.000 1.875
C 1.875 1.875 0.000
```

Results
The energy above the most stable polymorph in this dataset is 0.0 meV per atom. The raw total energy is -38.34 eV/cell. Its mass density is 4.37 g cm⁻³. The calculation puts the energy of formation from the pure elements at 37.3 kcal/mol of atoms. The value obtained for the density of states at the Fermi level is 6.34 states/eV/f.u.

VCrC | PBE | optimized geometry

Geometry as extended XYZ:
```
12
Lattice="4.442 0.000 0.000 0.000 4.953 0.000 -4.258 0.000 5.667" Properties=species:S:1:pos:R:3 pbc="T T T"
V -1.069 0.393 2.168
V -3.199 2.083 5.001
V 3.382 2.869 0.665
V 1.253 4.559 3.499
Cr -1.029 2.851 3.478
Cr 1.100 4.578 0.645
Cr -0.917 0.375 5.022
Cr 1.213 2.102 2.188
C 0.089 3.702 2.104
C -2.040 3.727 4.938
C 2.224 1.225 0.729
C 0.094 1.251 3.562
```

Results
The energy above the most stable polymorph in this dataset is 11.7 meV per atom. The raw total energy is -115.54 eV/cell. Its mass density is 6.12 g cm⁻³. The calculation puts the energy of formation from the pure elements at -7.1 kcal/mol of atoms. The value obtained for the density of states at the Fermi level is 2.21 states/eV/f.u.

> The lowest raw total energy belongs to which entry?

number 1

Copy entry 2 word for word.
VCrC | PBE | optimized geometry

Geometry as extended XYZ:
```
3
Lattice="-1.283 1.283 4.516 1.283 -1.283 4.516 1.283 1.283 -4.516" Properties=species:S:1:pos:R:3 pbc="T T T"
V 0.000 0.000 0.000
Cr 0.000 0.000 2.352
C 0.000 0.000 5.842
```

Results
The energy above the most stable polymorph in this dataset is 466.9 meV per atom. The raw total energy is -27.52 eV/cell. Its mass density is 6.42 g cm⁻³. The calculation puts the energy of formation from the pure elements at 3.4 kcal/mol of atoms. The value obtained for the density of states at the Fermi level is 1.17 states/eV/f.u.

> Which formula does entry 3 have?

VCrC

> Which value of mass density does entry 6 give?

6.12 g cm⁻³